No. 1
Ca2ZnRe after structural relaxation, computed with GGA-PBE.

abc: 10.2432 10.2432 10.2432
angles: 17.98 17.98 17.98
Site moments in Bohr magnetons follow the coordinates.
Element x y z (fractional)
Re: 0.7500 0.7500 0.7500  0.63
Zn: 0.2500 0.2500 0.2500  -0.04
Ca: 0.0054 0.0054 0.0054  -0.02
Ca: 0.4946 0.4946 0.4946  -0.02

formation energy = 0.6542 eV/atom
space-group type = No. 166

No. 2
IrRuF3 after structural relaxation, computed with GGA-PBE.

abc: 4.1864 4.1864 4.1864
angles: 90.00 90.00 90.00
Site moments in Bohr magnetons follow the coordinates.
Element x y z (fractional)
Ru: 0.0000 0.0000 0.0000  1.42
Ir: 0.5000 0.5000 0.5000  1.93
F: 0.0000 0.5000 0.0000  0.07
F: 0.0000 0.0000 0.5000  0.04
F: 0.5000 0.0000 0.0000  0.04

excess energy over the best structure of this formula in the dataset = 27 meV/atom
E_form (uncorrected) = 0.21 eV per atom
space-group type = No. 221

No. 3
Ga2BiBr6 after structural relaxation, computed with GGA-PBE.

abc: 8.6486 10.0669 10.0669
angles: 90.65 73.11 73.11
Element x y z (fractional)
Ga: 0.2587 0.5821 0.7729
Ga: 0.2413 0.2271 0.4179
Ga: 0.7413 0.4179 0.2271
Ga: 0.7587 0.7729 0.5821
Bi: 0.2500 0.0809 0.9191
Bi: 0.7500 0.9191 0.0809
Br: 0.5357 0.6422 0.6471
Br: 0.9643 0.3529 0.3578
Br: 0.4643 0.3578 0.3529
Br: 0.0357 0.6471 0.6422
Br: 0.7655 0.9296 0.3479
Br: 0.7345 0.6521 0.0704
Br: 0.2345 0.0704 0.6521
Br: 0.2655 0.3479 0.9296
Br: 0.1237 0.8059 0.9819
Br: 0.3763 0.0181 0.1941
Br: 0.8763 0.1941 0.0181
Br: 0.6237 0.9819 0.8059

E_form (uncorrected) = -0.59 eV per atom
space-group type = No. 15

No. 4
Na2SnPt2 after structural relaxation, computed with GGA-PBE.

abc: 4.2476 5.7121 5.8464
angles: 119.24 111.30 90.00
Element x y z (fractional)
Na: 0.7964 0.2964 0.5927
Na: 0.2036 0.7036 0.4073
Sn: 0.0000 0.0000 0.0000
Pt: 0.5000 0.7272 0.0000
Pt: 0.5000 0.2728 0.0000

excess energy over the best structure of this formula in the dataset = 33 meV/atom
formation energy = -0.3800 eV/atom
space-group type = No. 71

No. 5
TiTlCu2Ru after structural relaxation, computed with GGA-PBE.

abc: 4.6278 5.0859 4.6278
angles: 90.00 90.00 90.00
Element x y z (fractional)
Ru: 0.0000 0.5000 0.0000
Tl: 0.0000 0.0000 0.0000
Cu: 0.0000 0.0000 0.5000
Cu: 0.5000 0.0000 0.0000
Ti: 0.5000 0.5000 0.5000

formation energy = 1.4822 eV/atom
space-group type = No. 123

No. 6
La2TbPrHo after structural relaxation, computed with GGA-PBE.

abc: 6.5523 6.5567 8.9956
angles: 111.37 90.00 90.00
Element x y z (fractional)
La: 0.5000 0.2482 0.0000
La: 0.0000 0.7518 0.0000
La: 0.5000 0.7518 0.0000
La: 0.0000 0.2482 0.0000
Tb: 0.2500 0.8430 0.6861
Tb: 0.7500 0.1570 0.3139
Pr: 0.2500 0.6593 0.3186
Pr: 0.7500 0.3407 0.6814
Ho: 0.7500 0.7540 0.5080
Ho: 0.2500 0.2460 0.4920

formation energy = 0.3473 eV/atom
space-group type = No. 63

No. 7
ZnNiP2 after structural relaxation, computed with GGA-PBE.

abc: 3.5311 3.9222 3.9222
angles: 90.00 90.00 90.00
Element x y z (fractional)
Ni: 0.5000 0.0000 0.5000
P: 0.0000 0.0000 0.0000
P: 0.0000 0.5000 0.5000
Zn: 0.5000 0.5000 0.0000

formation energy = 0.2660 eV/atom
space-group type = No. 123

No. 8
AcPm2YP4 after structural relaxation, computed with GGA-PBE.

abc: 4.1894 7.2533 7.2538
angles: 70.64 90.00 90.00
Element x y z (fractional)
Ac: 0.5000 0.5000 0.0000
Pm: 0.0000 0.0000 0.0000
Pm: 0.5000 0.0000 0.5000
Y: 0.0000 0.5000 0.5000
P: 0.0000 0.7586 0.7367
P: 0.0000 0.2414 0.2633
P: 0.5000 0.7508 0.2594
P: 0.5000 0.2492 0.7406

formation energy = -1.5101 eV/atom
space-group type = No. 10